DFT (PBE) results for a geometry-optimized Pm4PrSm2Er2 structure.

As for the formation energy: 0.0178 eV per atom. For the total moment, the calculation gives 0.0 μB per cell. Its electronic total energy is -4.69 eV/atom. The mass density comes out at 7.465 g/cm3.

a b c (Å): 8.1004 8.1004 8.0852
angles (deg): 107.52 107.52 36.84
With the nearest neighbours (Å) after each atom.
Atoms (fractional coordinates):
Pm1 0.0552 0.0552 0.3323  2 Pr 3.61, 4 Sm 3.63, 2 Er 3.63-3.64, 4 Pm 3.63
Pm2 0.2775 0.2775 0.6692  3 Er 3.58-3.61, 3 Sm 3.61-3.64, 1 Pr 3.61, 5 Pm 3.63-3.64
Pm3 0.7225 0.7225 0.3308  3 Er 3.58-3.61, 3 Sm 3.61-3.64, 1 Pr 3.61, 5 Pm 3.63-3.64
Pm4 0.9448 0.9448 0.6677  2 Pr 3.61, 4 Sm 3.63, 2 Er 3.63-3.64, 4 Pm 3.63
Pr1 0.5000 0.5000 0.0000  6 Pm 3.61, 2 Sm 3.62, 4 Er 3.64
Sm1 0.3883 0.3883 0.3327  3 Er 3.59-3.61, 7 Pm 3.61-3.64, 1 Pr 3.62, 1 Sm 3.64
Sm2 0.6117 0.6117 0.6673  3 Er 3.59-3.61, 7 Pm 3.61-3.64, 1 Pr 3.62, 1 Sm 3.64
Er1 0.1683 0.1683 0.9993  5 Pm 3.58-3.64, 2 Er 3.58, 3 Sm 3.59-3.61, 2 Pr 3.64
Er2 0.8317 0.8317 0.0007  5 Pm 3.58-3.64, 2 Er 3.58, 3 Sm 3.59-3.61, 2 Pr 3.64

DFT (PBE) results for a geometry-optimized YHoSi2 structure.

For the total moment, the calculation gives 0.0 μB per cell. As for the uncorrected formation energy: -838.0 meV per atom. Its electronic total energy is -6.31 eV/atom. The mass density comes out at 5.987 g/cm3.

a b c (Å): 3.8342 5.6822 7.8927
angles (deg): 90.00 90.00 90.00
With the nearest neighbours (Å) after each atom.
Atoms (fractional coordinates):
Y1 0.0000 0.1347 0.0000  7 Si 2.94-3.15
Y2 0.0000 0.8653 0.5000  7 Si 2.94-3.15
Ho1 0.5000 0.3654 0.6403  7 Si 2.94-3.14
Ho2 0.5000 0.6346 0.1403  7 Si 2.94-3.14
Si1 0.0000 0.3797 0.3580  2 Si 2.49
Si2 0.0000 0.6203 0.8580  2 Si 2.49
Si3 0.5000 0.1215 0.2828  2 Si 2.49
Si4 0.5000 0.8785 0.7828  2 Si 2.49

DFT (PBE) results for a geometry-optimized NdEuMgIr structure.

As for the formation energy: -0.2288 eV per atom. For the total moment, the calculation gives 6.9 μB per cell. Its electronic total energy is -6.60 eV/atom. The mass density comes out at 8.666 g/cm3.

a b c (Å): 5.1793 5.1793 5.1793
angles (deg): 60.00 60.00 60.00
With the nearest neighbours (Å) after each atom.
Atoms (fractional coordinates):
Nd1 0.0000 0.0000 0.0000  4 Ir 3.17, 4 Mg 3.17
Eu1 0.5000 0.5000 0.5000  4 Ir 3.17, 4 Mg 3.17
Mg1 0.2500 0.2500 0.2500  4 Nd 3.17, 4 Eu 3.17
Ir1 0.7500 0.7500 0.7500  4 Nd 3.17, 4 Eu 3.17

DFT (PBE) results for a geometry-optimized Cd2Br structure.

For the total moment, the calculation gives 0.0 μB per cell. As for the uncorrected formation energy: -280.6 meV per atom. Its electronic total energy is -1.45 eV/atom. The mass density comes out at 5.952 g/cm3.

a b c (Å): 4.1119 4.1119 5.8058
angles (deg): 90.00 90.00 120.00
With the nearest neighbours (Å) after each atom.
Atoms (fractional coordinates):
Cd1 0.3333 0.6667 0.3538  3 Cd 2.92, 3 Br 3.14
Cd2 0.6667 0.3333 0.6462  3 Cd 2.92, 3 Br 3.14
Br1 0.0000 0.0000 0.0000  6 Cd 3.14

Repeat the fourth record exactly.
DFT (PBE) results for a geometry-optimized Cd2Br structure.

For the total moment, the calculation gives 0.0 μB per cell. As for the uncorrected formation energy: -280.6 meV per atom. Its electronic total energy is -1.45 eV/atom. The mass density comes out at 5.952 g/cm3.

a b c (Å): 4.1119 4.1119 5.8058
angles (deg): 90.00 90.00 120.00
With the nearest neighbours (Å) after each atom.
Atoms (fractional coordinates):
Cd1 0.3333 0.6667 0.3538  3 Cd 2.92, 3 Br 3.14
Cd2 0.6667 0.3333 0.6462  3 Cd 2.92, 3 Br 3.14
Br1 0.0000 0.0000 0.0000  6 Cd 3.14